1.
Material: NaTm5Tl6
Method: DFT, PBE
State: relaxed

a = 9.2307 Å, b = 9.2307 Å, c = 9.2307 Å
α = 146.54°, β = 132.40°, γ = 59.43°
Fractional positions:
Na (0.0000, 0.0000, 0.0000)
Tm (0.1596, 0.6596, 0.5000)
Tm (0.3318, 0.3318, 0.0000)
Tm (0.5000, 0.0000, 0.5000)
Tm (0.6682, 0.6682, 0.0000)
Tm (0.8404, 0.3404, 0.5000)
Tl (0.0850, 0.8333, 0.2517)
Tl (0.2527, 0.5000, 0.7527)
Tl (0.4185, 0.1667, 0.2517)
Tl (0.5815, 0.8333, 0.7483)
Tl (0.7473, 0.5000, 0.2473)
Tl (0.9150, 0.1667, 0.7483)

Results
formation enthalpy at 0 K	-6.178	kcal/mol of atoms
theoretical density	11.0	Mg/m³
N(E_F)	7.875	states/eV/f.u.

=====

2.
Material: Pm3MgSn3
Method: DFT, PBE
State: relaxed

a = 6.6001 Å, b = 6.6001 Å, c = 9.6327 Å
α = 90.29°, β = 90.29°, γ = 104.15°
Fractional positions:
Pm (0.1901, 0.8099, 0.0000)
Pm (0.2174, 0.7826, 0.5000)
Pm (0.3986, 0.3986, 0.2028)
Pm (0.6014, 0.6014, 0.7972)
Pm (0.7826, 0.2174, 0.5000)
Pm (0.8099, 0.1901, 0.0000)
Mg (0.3019, 0.3019, 0.5366)
Mg (0.6981, 0.6981, 0.4634)
Sn (0.0050, 0.0050, 0.2622)
Sn (0.0621, 0.4756, 0.7574)
Sn (0.4756, 0.0621, 0.7574)
Sn (0.5244, 0.9379, 0.2426)
Sn (0.9379, 0.5244, 0.2426)
Sn (0.9950, 0.9950, 0.7378)

Results
formation enthalpy at 0 K	-12.849	kcal/mol of atoms
theoretical density	6.7	Mg/m³
N(E_F)	4.356	states/eV/f.u.